# 1
## CaLaInSn (PBE)

Data for a geometry-optimized CaLaInSn structure.

ΔE_f ... -0.5701 eV per atom
Energy relative to the lowest polymorph listed for this composition ... 0.028 eV/atom

The structure in CIF format:
```
data_CaLaInSn
_chemical_formula_sum 'Ca4 La4 In4 Sn4'
_cell_length_a 7.814
_cell_length_b 7.814
_cell_length_c 7.814
_cell_angle_alpha 90.00
_cell_angle_beta 90.00
_cell_angle_gamma 90.00
_symmetry_space_group_name_H-M 'F -4 3 m'
_symmetry_Int_Tables_number 216
_symmetry_space_group_name_Hall 'F -4 2 3'
loop_
_atom_site_label
_atom_site_type_symbol
_atom_site_fract_x
_atom_site_fract_y
_atom_site_fract_z
Ca1 Ca 0.000 0.000 0.000
La1 La 0.000 0.000 0.500
In1 In 0.250 0.250 0.250
Sn1 Sn 0.250 0.250 0.750
```

# 2
## HfMn (PBE)

Data for a geometry-optimized HfMn structure.

ΔE_f ... 0.2468 eV per atom

The structure in CIF format:
```
data_HfMn
_chemical_formula_sum 'Hf16 Mn16'
_cell_length_a 6.504
_cell_length_b 8.423
_cell_length_c 10.047
_cell_angle_alpha 90.00
_cell_angle_beta 90.00
_cell_angle_gamma 90.00
_symmetry_space_group_name_H-M 'F d d d'
_symmetry_Int_Tables_number 70
loop_
_symmetry_equiv_pos_as_xyz
'x,y,z'
'-x,-y,-z'
'-x+1/4,-y+1/4,z'
'x+1/4,y+1/4,-z'
'x,-y+1/4,-z+1/4'
'-x,y+1/4,z+1/4'
'-x+1/4,y,-z+1/4'
'x+1/4,-y,z+1/4'
'x,y+1/2,z+1/2'
'-x,-y+1/2,-z+1/2'
'-x+1/4,-y+3/4,z+1/2'
'x+1/4,y+3/4,-z+1/2'
'x,-y+3/4,-z+3/4'
'-x,y+3/4,z+3/4'
'-x+1/4,y+1/2,-z+3/4'
'x+1/4,-y+1/2,z+3/4'
'x+1/2,y,z+1/2'
'-x+1/2,-y,-z+1/2'
'-x+3/4,-y+1/4,z+1/2'
'x+3/4,y+1/4,-z+1/2'
'x+1/2,-y+1/4,-z+3/4'
'-x+1/2,y+1/4,z+3/4'
'-x+3/4,y,-z+3/4'
'x+3/4,-y,z+3/4'
'x+1/2,y+1/2,z'
'-x+1/2,-y+1/2,-z'
'-x+3/4,-y+3/4,z'
'x+3/4,y+3/4,-z'
'x+1/2,-y+3/4,-z+1/4'
'-x+1/2,y+3/4,z+1/4'
'-x+3/4,y+1/2,-z+1/4'
'x+3/4,-y+1/2,z+1/4'
loop_
_atom_site_label
_atom_site_type_symbol
_atom_site_fract_x
_atom_site_fract_y
_atom_site_fract_z
Hf1 Hf 0.125 0.321 0.125
Mn1 Mn 0.043 0.375 0.875
```

# 3
## CaCBr (PBE)

Data for a geometry-optimized CaCBr structure.

Formation energy without anion corrections ... -951 meV/atom

The structure in CIF format:
```
data_CaCBr
_chemical_formula_sum 'Ca4 C4 Br4'
_cell_length_a 7.437
_cell_length_b 4.008
_cell_length_c 11.079
_cell_angle_alpha 90.00
_cell_angle_beta 105.02
_cell_angle_gamma 90.00
_symmetry_space_group_name_H-M 'C 1 m 1'
_symmetry_Int_Tables_number 8
loop_
_symmetry_equiv_pos_as_xyz
'x,y,z'
'x,-y,z'
'x+1/2,y+1/2,z'
'x+1/2,-y+1/2,z'
loop_
_atom_site_label
_atom_site_type_symbol
_atom_site_fract_x
_atom_site_fract_y
_atom_site_fract_z
Ca1 Ca 0.000 0.000 0.000
Ca2 Ca 0.102 0.500 0.686
C1 C 0.241 0.000 0.874
C2 C 0.372 0.000 0.821
Br1 Br 0.211 0.000 0.525
Br2 Br 0.231 0.500 0.152
```